Compound: CaSc2Ag
Source: Alexandria
Functional: PBE-GGA
Structure: optimized geometry

## Properties
Calculated volume (Å³ per atom): 25.16
Energy relative to the elements (eV/atom): 0.04
Space-group type: Imm2
Density (kg/m3): 3925
N(E_F) (states/eV/cell): 12.1
Raw total energy (eV per cell): -34.680
Excess energy over the best structure of this formula in the dataset (meV/atom): 106

Lattice parameters (Å, degrees): 3.6233 5.1701 10.7440 90.00 90.00 90.00
Fractional coordinates of all 8 atoms:
Ca  0.0000  0.0000  0.0000
Ca  0.5000  0.5000  0.5000
Sc  0.0000  0.0000  0.5701
Sc  0.0000  0.5000  0.7857
Sc  0.5000  0.0000  0.2857
Sc  0.5000  0.5000  0.0701
Ag  0.0000  0.5000  0.2708
Ag  0.5000  0.0000  0.7708


Compound: DyHf2Pd9
Source: Alexandria
Functional: PBE-GGA
Structure: optimized geometry

## Properties
Calculated volume (Å³ per atom): 16.56
Energy relative to the elements (eV/atom): -0.90
Space-group type: P4/mmm
Density (kg/m3): 12342
N(E_F) (states/eV/cell): 1.0
Raw total energy (eV per cell): -82.096

Lattice parameters (Å, degrees): 4.0447 4.0447 12.1493 90.00 90.00 90.00
Fractional coordinates of all 12 atoms:
Dy  0.0000  0.0000  0.0000
Hf  0.0000  0.0000  0.3335
Hf  0.0000  0.0000  0.6665
Pd  0.0000  0.5000  0.1754
Pd  0.0000  0.5000  0.5000
Pd  0.0000  0.5000  0.8246
Pd  0.5000  0.0000  0.1754
Pd  0.5000  0.0000  0.5000
Pd  0.5000  0.0000  0.8246
Pd  0.5000  0.5000  0.0000
Pd  0.5000  0.5000  0.3375
Pd  0.5000  0.5000  0.6625


Compound: TmMn9Nb2
Source: Alexandria
Functional: PBE-GGA
Structure: optimized geometry

## Properties
Calculated volume (Å³ per atom): 13.67
Energy relative to the elements (eV/atom): -0.06
Space-group type: R-3m
Density (kg/m3): 8597
N(E_F) (states/eV/cell): 17.3
Raw total energy (eV per cell): -107.846

Lattice parameters (Å, degrees): 8.3003 8.3003 8.3003 34.54 34.54 34.54
Fractional coordinates of all 12 atoms:
Tm  0.0000  0.0000  0.0000
Mn  0.0790  0.5894  0.5894
Mn  0.3357  0.3357  0.3357
Mn  0.4106  0.4106  0.9210
Mn  0.4106  0.9210  0.4106
Mn  0.5000  0.5000  0.5000
Mn  0.5894  0.0790  0.5894
Mn  0.5894  0.5894  0.0790
Mn  0.6643  0.6643  0.6643
Mn  0.9210  0.4106  0.4106
Nb  0.1430  0.1430  0.1430
Nb  0.8570  0.8570  0.8570


no.,size of the total moment (μB/f.u.)
1,0.00
2,0.00
3,2.66